Record 1
A plane-wave DFT calculation with PBE-GGA was carried out for crystalline Y2AgS at its relaxed geometry.

Summary:
**DFT total energy**: -6.05 eV/atom
**Formation energy from raw total energies**: -4.30 eV/f.u.
**Crystal system**: trigonal

Cell lengths 3.8971, 3.8971, 7.6339 Å; angles 75.21, 75.21, 60.00 degrees
Closest atoms and distances in Å follow each position.
Atoms (fractional coordinates):
Ag: 0.5000 0.5000 0.5000  6 Y 3.03
Y: 0.2592 0.2592 0.2224  3 S 2.77, 3 Ag 3.03
S: 0.0000 0.0000 0.0000  6 Y 2.77
Y: 0.7408 0.7408 0.7776  3 S 2.77, 3 Ag 3.03

***

Record 2
A plane-wave DFT calculation with PBE-GGA was carried out for crystalline Y3AgS at its relaxed geometry.

Summary:
**DFT total energy**: -5.92 eV/atom
**Formation energy from raw total energies**: -3.22 eV/f.u.
**Polymorph energy (0 for the lowest one)**: 0.2776 eV/atom
**Crystal system**: cubic

Cell lengths 5.1688, 5.1688, 5.1688 Å; angles 90.00, 90.00, 90.00 degrees
Closest atoms and distances in Å follow each position.
Atoms (fractional coordinates):
Y: 0.5000 0.0000 0.0000  2 S 2.58
Y: 0.0000 0.0000 0.5000  2 S 2.58
Ag: 0.5000 0.5000 0.5000  12 Y 3.65
Y: 0.0000 0.5000 0.0000  2 S 2.58
S: 0.0000 0.0000 0.0000  6 Y 2.58

***

Record 3
A plane-wave DFT calculation with PBE-GGA was carried out for crystalline YZnAg2S at its relaxed geometry.

Summary:
**DFT total energy**: -2.38 eV/atom
**Formation energy from raw total energies**: 5.65 eV/f.u.
**Crystal system**: tetragonal

Cell lengths 5.4733, 5.5705, 5.4733 Å; angles 90.00, 90.00, 90.00 degrees
Closest atoms and distances in Å follow each position.
Atoms (fractional coordinates):
Y: 0.0000 0.0000 0.0000  4 Ag 2.74, 2 Zn 2.79
S: 0.5000 0.5000 0.5000  4 Zn 3.87, 8 Ag 3.90
Zn: 0.0000 0.5000 0.0000  2 Y 2.79
Ag: 0.0000 0.0000 0.5000  2 Y 2.74
Ag: 0.5000 0.0000 0.0000  2 Y 2.74

***

N(E_F): 2.700 6.009 6.453 (states/eV/f.u.)